Density functional theory data (GGA-PBE) for a geometry-optimized Zn2HgAs2 structure.

Cell: 4.6928 4.6928 5.8540 Å, 66.37 66.37 90.00°
Last column: nearest neighbours and their distance in Å.
Element x y z (fractional)
Zn 0.7500 0.2500 0.5000  4 As 2.62
Zn 0.2500 0.7500 0.5000  4 As 2.62
As 0.3710 0.3710 0.2579  1 As 2.49, 4 Zn 2.62
As 0.6290 0.6290 0.7421  1 As 2.49, 4 Zn 2.62
Hg 0.0000 0.0000 0.0000  8 Zn 3.36, 10 As 3.54-3.58

Properties
Energy above the lowest structure with this stoichiometry, meV/atom: 0
Total DFT energy (no corrections), eV/atom: -2.409
Formation energy from the elements, meV/atom: 21
ρ, g/cm3: 7.5